1.
CsNa12Cd7 | PBE-GGA | relaxed

Unit cell a=16.1585 b=16.1585 c=8.8664 alpha=90.00 beta=90.00 gamma=120.00
Closest atoms and distances in Å follow each position.
Space group R-3m (No. 166, hexagonal axes)
Inequivalent atoms, fractional coordinates:
Cs: 0.0000 0.0000 0.0000 (multiplicity 3)  8 Cd 4.07-4.43, 12 Na 4.30-4.41
Na: 0.0000 0.2661 0.0000 (multiplicity 18)  4 Cd 3.20-3.24, 2 Na 3.50
Na: 0.1068 0.2135 0.3656 (multiplicity 18)  4 Cd 3.22-3.27, 1 Na 3.40
Cd: 0.0000 0.0000 0.5000 (multiplicity 3)  6 Na 3.22
Cd: 0.0974 0.5487 0.3975 (multiplicity 18)  7 Na 3.20-3.27, 1 Cd 3.28

Output
E_form = -0.0242 eV per atom
E_tot = -1.1786 eV/atom

=====

2.
Cs4Na2Cd3 | PBE-GGA | relaxed

Unit cell a=21.1963 b=5.1794 c=9.5416 alpha=90.00 beta=106.46 gamma=90.00
Closest atoms and distances in Å follow each position.
Space group C2/m (No. 12)
Inequivalent atoms, fractional coordinates:
Cs: 0.0725 0.0000 0.3917 (multiplicity 4)  2 Na 4.10-4.14, 6 Cd 4.14-4.45, 2 Cs 4.16-4.54
Cs: 0.2469 0.5000 0.2141 (multiplicity 4)  3 Na 4.34, 3 Cd 4.41-4.63, 1 Cs 4.54
Na: 0.0889 0.0000 0.9739 (multiplicity 4)  4 Cd 3.20-3.25
Cd: 0.0000 0.5000 0.0000 (multiplicity 2)  2 Cd 3.16, 4 Na 3.25
Cd: 0.0833 0.5000 0.7734 (multiplicity 4)  1 Cd 3.16, 2 Na 3.20

Output
E_form = -0.0043 eV per atom
E_tot = -0.9818 eV/atom

=====

3.
CsNa2Cd3 | PBE-GGA | relaxed

Unit cell a=12.6065 b=10.5010 c=6.6288 alpha=90.00 beta=90.00 gamma=90.00
Closest atoms and distances in Å follow each position.
Space group Cmcm (No. 63)
Inequivalent atoms, fractional coordinates:
Cs: 0.0000 0.1830 0.2500 (multiplicity 4)  9 Cd 4.01-4.21, 4 Na 4.44
Na: 0.2111 0.5000 0.0000 (multiplicity 8)  6 Cd 3.24-3.26, 2 Na 3.31
Cd: 0.0000 0.4165 0.7500 (multiplicity 4)  2 Cd 3.04, 4 Na 3.26
Cd: 0.1887 0.2361 0.7500 (multiplicity 8)  1 Cd 3.04, 4 Na 3.24

Output
E_form = -0.0376 eV per atom
E_tot = -1.0771 eV/atom

=====

4.
Cs5Na2Cd | PBE-GGA | relaxed

Unit cell a=5.4698 b=15.6812 c=28.4560 alpha=90.00 beta=90.00 gamma=90.00
Closest atoms and distances in Å follow each position.
Space group Cmcm (No. 63)
Inequivalent atoms, fractional coordinates:
Cs: 0.0000 0.0152 0.2500 (multiplicity 4)  3 Cd 4.22-4.53, 4 Na 4.57
Cs: 0.0000 0.1380 0.0509 (multiplicity 8)  4 Cs 4.67-5.21, 2 Na 4.91
Cs: 0.0000 0.4058 0.1229 (multiplicity 8)  1 Cd 4.09, 2 Na 4.41
Na: 0.0000 0.2815 0.6872 (multiplicity 8)  2 Cd 3.43, 1 Na 3.57
Cd: 0.0000 0.2846 0.2500 (multiplicity 4)  4 Na 3.43

Output
E_form = 0.0162 eV per atom
E_tot = -0.9614 eV/atom

=====

5.
CsNa3Cd | PBE-GGA | relaxed

Unit cell a=6.1775 b=6.1775 c=6.1775 alpha=90.00 beta=90.00 gamma=90.00
Closest atoms and distances in Å follow each position.
Space group Pm-3m (No. 221)
Inequivalent atoms, fractional coordinates:
Cs: 0.0000 0.0000 0.0000 (multiplicity 1)  12 Na 4.37
Na: 0.0000 0.5000 0.5000 (multiplicity 3)  2 Cd 3.09
Cd: 0.5000 0.5000 0.5000 (multiplicity 1)  6 Na 3.09

Output
energy above the lowest structure with this stoichiometry = 28 meV per atom
E_form = 0.0229 eV per atom
E_tot = -1.1222 eV/atom

=====

6.
Cs8NaCd2 | PBE-GGA | relaxed

Unit cell a=12.5731 b=18.4078 c=7.8404 alpha=90.00 beta=103.78 gamma=90.00
Closest atoms and distances in Å follow each position.
Space group Cm (No. 8)
Inequivalent atoms, fractional coordinates:
Cs: 0.0000 0.0000 0.0000 (multiplicity 2)  2 Cd 4.17, 1 Na 4.63
Cs: 0.0716 0.3684 0.7816 (multiplicity 4)  2 Cd 4.16-4.18
Cs: 0.1845 0.1315 0.6137 (multiplicity 4)  2 Cd 4.17
Cs: 0.2552 0.5000 0.3949 (multiplicity 2)  2 Cd 4.18, 1 Na 4.63
Cs: 0.3775 0.2457 0.1974 (multiplicity 4)  2 Cd 4.14, 1 Na 4.52
Na: 0.3774 0.0000 0.2004 (multiplicity 2)  4 Cs 4.52-4.63
Cd: 0.3776 0.3184 0.6976 (multiplicity 4)  8 Cs 4.14-4.18

Output
E_form = 0.0052 eV per atom
E_tot = -0.9018 eV/atom

=====

7.
CsNaCd | PBE-GGA | relaxed

Unit cell a=4.4433 b=4.4433 c=13.9098 alpha=90.00 beta=90.00 gamma=90.00
Closest atoms and distances in Å follow each position.
Space group I4mm (No. 107)
Inequivalent atoms, fractional coordinates:
Cs: 0.0000 0.0000 0.0000 (multiplicity 2)  1 Na 3.85, 5 Cd 4.11-4.30
Na: 0.0000 0.0000 0.2770 (multiplicity 2)  4 Cd 3.36
Cd: 0.0000 0.0000 0.6908 (multiplicity 2)  4 Na 3.36

Output
energy above the lowest structure with this stoichiometry = 38 meV per atom
E_form = 0.0029 eV per atom
E_tot = -1.0263 eV/atom

=====

8.
CsNa4Cd | PBE-GGA | relaxed

Unit cell a=21.8522 b=8.6304 c=6.1838 alpha=90.00 beta=106.18 gamma=90.00
Closest atoms and distances in Å follow each position.
Space group C2/m (No. 12)
Inequivalent atoms, fractional coordinates:
Cs: 0.2157 0.0000 0.2141 (multiplicity 4)  12 Na 4.43-4.80
Na: 0.0000 0.1855 0.0000 (multiplicity 4)  2 Cd 3.15, 1 Na 3.20
Na: 0.0886 0.2310 0.5868 (multiplicity 8)  2 Cd 3.32-3.33, 3 Na 3.63-3.72
Na: 0.1319 0.5000 0.1327 (multiplicity 4)  2 Cd 3.20
Cd: 0.9996 0.5000 0.2594 (multiplicity 4)  2 Cd 2.97-3.21, 6 Na 3.15-3.32

Output
E_form = 0.0016 eV per atom
E_tot = -1.1725 eV/atom

=====

9.
CsNa4Cd2 | PBE-GGA | relaxed

Unit cell a=10.4324 b=8.9938 c=6.5816 alpha=90.00 beta=127.47 gamma=90.00
Closest atoms and distances in Å follow each position.
Space group C2/m (No. 12)
Inequivalent atoms, fractional coordinates:
Cs: 0.0000 0.0000 0.0000 (multiplicity 2)  8 Na 3.67-4.06
Na: 0.2060 0.1946 0.7057 (multiplicity 8)  4 Na 3.41-3.54, 4 Cd 3.43-3.64, 1 Cs 3.67
Cd: 0.0035 0.5000 0.7456 (multiplicity 4)  2 Cd 3.19-3.39, 6 Na 3.43-3.57

Output
E_form = 0.0012 eV per atom
E_tot = -1.1359 eV/atom

=====

10.
Cs2Na5Cd | PBE-GGA | relaxed

Unit cell a=8.6148 b=12.1343 c=7.4672 alpha=90.00 beta=90.89 gamma=90.00
Closest atoms and distances in Å follow each position.
Space group Cm (No. 8)
Inequivalent atoms, fractional coordinates:
Cs: 0.0000 0.1958 0.0000 (multiplicity 4)  1 Cd 3.96, 7 Na 4.27-4.40
Na: 0.0135 0.5000 0.3120 (multiplicity 2)  1 Cd 3.54, 3 Na 3.59-3.80
Na: 0.0147 0.0000 0.4837 (multiplicity 2)  1 Cd 3.22, 1 Na 3.54
Na: 0.2462 0.2622 0.5097 (multiplicity 4)  1 Cd 3.34, 1 Na 3.71
Na: 0.3560 0.0000 0.7543 (multiplicity 2)  1 Cd 3.07
Cd: 0.2115 0.5000 0.7307 (multiplicity 2)  4 Na 3.07-3.34

Output
E_form = 0.0305 eV per atom
E_tot = -1.1217 eV/atom

=====

11.
Cs2Na2Cd15 | PBE-GGA | relaxed

Unit cell a=10.9146 b=10.9146 c=15.2138 alpha=90.00 beta=90.00 gamma=120.00
Closest atoms and distances in Å follow each position.
Space group R-3m (No. 166, hexagonal axes)
Inequivalent atoms, fractional coordinates:
Cs: 0.0000 0.0000 0.1495 (multiplicity 6)  1 Na 3.77, 18 Cd 3.79-4.21
Na: 0.0000 0.0000 0.3975 (multiplicity 6)  1 Na 3.12, 6 Cd 3.30-3.33
Cd: 0.0000 0.2920 0.5000 (multiplicity 18)  8 Cd 3.02-3.24
Cd: 0.0000 0.5000 0.0000 (multiplicity 9)  8 Cd 3.02-3.13, 2 Na 3.30
Cd: 0.0068 0.5034 0.3509 (multiplicity 18)  8 Cd 3.13-3.26, 1 Na 3.33

Output
E_form = -0.0481 eV per atom
E_tot = -0.9992 eV/atom